Crystalline SrNiN2O at its relaxed geometry, computed with PBE+U.

Results
Density = 5.09 Mg/m³
DFT total energy = -5.00 eV/atom

a = 3.811 Å, b = 3.811 Å, c = 4.272 Å
α = 90.00°, β = 90.00°, γ = 90.00°
Fractional positions:
Sr: 0.000 0.000 0.000
Ni: 0.500 0.500 0.500
N: 0.000 0.500 0.500
N: 0.500 0.000 0.500
O: 0.500 0.500 0.000